<a>
A relaxed TaTi2W crystal. Source: Alexandria via LeMat-Bulk, functional PBE-GGA.

abc: 4.5549 4.5549 4.5549
angles: 60.00 60.00 60.00
Fractional coordinates of all 4 atoms:
Ta  0.0000  0.0000  0.0000
Ti  0.2500  0.2500  0.2500
Ti  0.7500  0.7500  0.7500
W  0.5000  0.5000  0.5000

Output
* symmetry: No. 225

=====

<b>
A relaxed TaTi2W crystal. Source: Alexandria via LeMat-Bulk, functional PBE-GGA.

abc: 5.7832 5.7832 5.7832
angles: 102.94 102.94 123.52
Fractional coordinates of all 8 atoms:
Ta  0.0000  0.0000  0.0000
Ta  0.7500  0.2500  0.5000
Ti  0.1376  0.1250  0.5126
Ti  0.3750  0.8624  0.9874
Ti  0.6124  0.6250  0.4874
Ti  0.8750  0.3876  0.0126
W  0.2500  0.7500  0.5000
W  0.5000  0.5000  0.0000

Output
* symmetry: No. 122

=====

Order from most stable to least stable according to the calculation: <a>, <b>

=====

<a>
A relaxed Ta2TiW3 crystal. Source: Alexandria via LeMat-Bulk, functional PBE-GGA.

abc: 3.2262 3.2262 9.6351
angles: 90.00 90.00 90.00
Fractional coordinates of all 6 atoms:
Ta  0.0000  0.0000  0.1692
Ta  0.0000  0.0000  0.8308
Ti  0.0000  0.0000  0.5000
W  0.5000  0.5000  0.0000
W  0.5000  0.5000  0.3366
W  0.5000  0.5000  0.6634

Output
* symmetry: No. 123

=====

<b>
A relaxed Ta2TiW3 crystal. Source: Alexandria via LeMat-Bulk, functional PBE-GGA.

abc: 7.0862 7.0862 6.9823
angles: 93.87 93.87 37.41
Fractional coordinates of all 12 atoms:
Ta  0.0379  0.0379  0.1924
Ta  0.2656  0.2656  0.3452
Ta  0.7344  0.7344  0.6548
Ta  0.9621  0.9621  0.8076
Ti  0.3532  0.3532  0.7212
Ti  0.6468  0.6468  0.2788
W  0.1151  0.1151  0.5809
W  0.1937  0.1937  0.9592
W  0.4242  0.4242  0.1159
W  0.5758  0.5758  0.8841
W  0.8063  0.8063  0.0408
W  0.8849  0.8849  0.4191

Output
* symmetry: No. 12

=====

Order from most stable to least stable according to the calculation: <a>, <b>

=====

<a>
A relaxed YTaTi2 crystal. Source: Alexandria via LeMat-Bulk, functional PBE-GGA.

abc: 3.4779 3.4779 6.8963
angles: 90.00 90.00 90.00
Fractional coordinates of all 4 atoms:
Y  0.0000  0.0000  0.0000
Ta  0.0000  0.0000  0.5000
Ti  0.5000  0.5000  0.3037
Ti  0.5000  0.5000  0.6963

Output
* symmetry: No. 123

=====

<b>
A relaxed YTaTi2 crystal. Source: Alexandria via LeMat-Bulk, functional PBE-GGA.

abc: 4.8394 4.8394 4.8394
angles: 60.00 60.00 60.00
Fractional coordinates of all 4 atoms:
Y  0.0000  0.0000  0.0000
Ta  0.5000  0.5000  0.5000
Ti  0.2500  0.2500  0.2500
Ti  0.7500  0.7500  0.7500

Output
* symmetry: No. 225

=====

<c>
A relaxed YTaTi2 crystal. Source: Alexandria via LeMat-Bulk, functional PBE-GGA.

abc: 6.1125 6.1125 6.1125
angles: 103.75 103.75 121.64
Fractional coordinates of all 8 atoms:
Y  0.0000  0.0000  0.0000
Y  0.7500  0.2500  0.5000
Ta  0.2500  0.7500  0.5000
Ta  0.5000  0.5000  0.0000
Ti  0.1498  0.6250  0.0248
Ti  0.3750  0.3998  0.5248
Ti  0.6002  0.1250  0.9752
Ti  0.8750  0.8502  0.4752

Output
* symmetry: No. 122

=====

Order from most stable to least stable according to the calculation: <a>, <b>, <c>

=====

<a>
A relaxed YTa2Ti2 crystal. Source: Alexandria via LeMat-Bulk, functional PBE-GGA.

abc: 7.7910 7.7910 3.3567
angles: 90.00 90.00 90.00
Fractional coordinates of all 10 atoms:
Y  0.0000  0.0000  0.0000
Y  0.5000  0.5000  0.0000
Ta  0.1498  0.3502  0.5000
Ta  0.3502  0.8502  0.5000
Ta  0.6498  0.1498  0.5000
Ta  0.8502  0.6498  0.5000
Ti  0.1333  0.6333  0.0000
Ti  0.3667  0.1333  0.0000
Ti  0.6333  0.8667  0.0000
Ti  0.8667  0.3667  0.0000

Output
* symmetry: No. 127

=====

<b>
A relaxed YTa2Ti2 crystal. Source: Alexandria via LeMat-Bulk, functional PBE-GGA.

abc: 8.0571 8.0571 3.1504
angles: 90.00 90.00 90.00
Fractional coordinates of all 10 atoms:
Y  0.0000  0.0000  0.0000
Y  0.5000  0.5000  0.0000
Ta  0.1407  0.3593  0.0000
Ta  0.3593  0.8593  0.0000
Ta  0.6407  0.1407  0.0000
Ta  0.8593  0.6407  0.0000
Ti  0.1430  0.6430  0.5000
Ti  0.3570  0.1430  0.5000
Ti  0.6430  0.8570  0.5000
Ti  0.8570  0.3570  0.5000

Output
* symmetry: No. 127

=====

Order from most stable to least stable according to the calculation: <a>, <b>

=====

<a>
A relaxed TaTi2Zn2 crystal. Source: Alexandria via LeMat-Bulk, functional PBE-GGA.

abc: 10.3804 10.3804 5.6055
angles: 97.90 97.90 15.85
Fractional coordinates of all 10 atoms:
Ta  0.0210  0.9790  0.7500
Ta  0.9790  0.0210  0.2500
Ti  0.3906  0.3914  0.4463
Ti  0.3914  0.3906  0.9463
Ti  0.6086  0.6094  0.0537
Ti  0.6094  0.6086  0.5537
Zn  0.2054  0.2073  0.3532
Zn  0.2073  0.2054  0.8532
Zn  0.7927  0.7946  0.1468
Zn  0.7946  0.7927  0.6468

Output
* symmetry: No. 15

=====

<b>
A relaxed TaTi2Zn2 crystal. Source: Alexandria via LeMat-Bulk, functional PBE-GGA.

abc: 6.5364 6.5364 6.5364
angles: 147.11 147.11 47.19
Fractional coordinates of all 5 atoms:
Ta  0.0000  0.0000  0.0000
Ti  0.2500  0.7500  0.5000
Ti  0.7500  0.2500  0.5000
Zn  0.4049  0.4049  0.0000
Zn  0.5951  0.5951  0.0000

Output
* symmetry: No. 139

=====

Order from most stable to least stable according to the calculation: <a>, <b>

=====

<a>
A relaxed Ta2Ti2Zn crystal. Source: Alexandria via LeMat-Bulk, functional PBE-GGA.

abc: 6.8909 6.8909 3.6697
angles: 90.00 90.00 90.00
Fractional coordinates of all 10 atoms:
Ta  0.1666  0.3334  0.0000
Ta  0.3334  0.8334  0.0000
Ta  0.6666  0.1666  0.0000
Ta  0.8334  0.6666  0.0000
Ti  0.1346  0.6346  0.5000
Ti  0.3654  0.1346  0.5000
Ti  0.6346  0.8654  0.5000
Ti  0.8654  0.3654  0.5000
Zn  0.0000  0.0000  0.5000
Zn  0.5000  0.5000  0.5000

Output
* symmetry: No. 127

=====

<b>
A relaxed Ta2Ti2Zn crystal. Source: Alexandria via LeMat-Bulk, functional PBE-GGA.

abc: 11.4278 11.3445 2.8096
angles: 84.60 81.23 14.17
Fractional coordinates of all 5 atoms:
Ta  0.1962  0.1962  0.8038
Ta  0.8038  0.8038  0.1962
Ti  0.4026  0.4026  0.5974
Ti  0.5974  0.5974  0.4026
Zn  0.0000  0.0000  0.0000

Output
* symmetry: No. 69

=====

<c>
A relaxed Ta2Ti2Zn crystal. Source: Alexandria via LeMat-Bulk, functional PBE-GGA.

abc: 7.0361 7.0361 3.6493
angles: 90.00 90.00 90.00
Fractional coordinates of all 10 atoms:
Ta  0.1351  0.3649  0.0000
Ta  0.3649  0.8649  0.0000
Ta  0.6351  0.1351  0.0000
Ta  0.8649  0.6351  0.0000
Ti  0.1641  0.6641  0.5000
Ti  0.3359  0.1641  0.5000
Ti  0.6641  0.8359  0.5000
Ti  0.8359  0.3359  0.5000
Zn  0.0000  0.0000  0.0000
Zn  0.5000  0.5000  0.0000

Output
* symmetry: No. 127

=====

Order from most stable to least stable according to the calculation: <b>, <a>, <c>

=====

<a>
A relaxed TaTiZn crystal. Source: Alexandria via LeMat-Bulk, functional PBE-GGA.

abc: 4.6451 4.6451 2.7018
angles: 90.00 90.00 120.00
Fractional coordinates of all 3 atoms:
Ta  0.0000  0.0000  0.0000
Ti  0.6667  0.3333  0.0000
Zn  0.3333  0.6667  0.5000

Output
* symmetry: No. 187

=====

<b>
A relaxed TaTiZn crystal. Source: Alexandria via LeMat-Bulk, functional PBE-GGA.

abc: 6.3802 5.1656 5.0995
angles: 76.85 52.04 51.11
Fractional coordinates of all 6 atoms:
Ta  0.1522  0.8478  0.1522
Ta  0.8478  0.1522  0.8478
Ti  0.3506  0.3506  0.6494
Ti  0.6494  0.6494  0.3506
Zn  0.2500  0.2500  0.2500
Zn  0.7500  0.7500  0.7500

Output
* symmetry: No. 69

=====

<c>
A relaxed TaTiZn crystal. Source: Alexandria via LeMat-Bulk, functional PBE-GGA.

abc: 12.6738 2.8402 2.8402
angles: 80.99 90.00 90.00
Fractional coordinates of all 6 atoms:
Ta  0.0950  0.2500  0.7500
Ta  0.9050  0.7500  0.2500
Ti  0.2637  0.6938  0.1938
Ti  0.7363  0.1938  0.6938
Zn  0.4254  0.1921  0.6921
Zn  0.5746  0.6921  0.1921

Output
* symmetry: No. 39

=====

<d>
A relaxed TaTiZn crystal. Source: Alexandria via LeMat-Bulk, functional PBE-GGA.

abc: 9.0325 9.0325 3.5696
angles: 90.00 90.00 159.51
Fractional coordinates of all 6 atoms:
Ta  0.2059  0.7941  0.7500
Ta  0.7941  0.2059  0.2500
Ti  0.3826  0.6174  0.7500
Ti  0.6174  0.3826  0.2500
Zn  0.0456  0.9544  0.7500
Zn  0.9544  0.0456  0.2500

Output
* symmetry: No. 63

=====

Order from most stable to least stable according to the calculation: <c>, <d>, <b>, <a>

=====

<a>
A relaxed ZrTa2Ti crystal. Source: Alexandria via LeMat-Bulk, functional PBE-GGA.

abc: 4.7475 4.7475 4.7475
angles: 60.00 60.00 60.00
Fractional coordinates of all 4 atoms:
Zr  0.0000  0.0000  0.0000
Ta  0.2500  0.2500  0.2500
Ta  0.7500  0.7500  0.7500
Ti  0.5000  0.5000  0.5000

Output
* symmetry: No. 225

=====

<b>
A relaxed ZrTa2Ti crystal. Source: Alexandria via LeMat-Bulk, functional PBE-GGA.

abc: 4.0116 4.0116 4.7690
angles: 90.00 90.00 90.00
Fractional coordinates of all 4 atoms:
Zr  0.0000  0.0000  0.0000
Ta  0.0000  0.5000  0.5000
Ta  0.5000  0.0000  0.5000
Ti  0.5000  0.5000  0.0000

Output
* symmetry: No. 123

=====

Order from most stable to least stable according to the calculation: <b>, <a>

=====

<a>
A relaxed ZrTa2Ti crystal. Source: Alexandria via LeMat-Bulk, functional PBE-GGA.

abc: 3.3441 3.3441 6.7882
angles: 90.00 90.00 90.00
Fractional coordinates of all 4 atoms:
Zr  0.0000  0.0000  0.0000
Ta  0.5000  0.5000  0.2767
Ta  0.5000  0.5000  0.7233
Ti  0.0000  0.0000  0.5000

Output
* symmetry: No. 123

=====

<b>
A relaxed ZrTa2Ti crystal. Source: Alexandria via LeMat-Bulk, functional PBE-GGA.

abc: 6.0140 6.0140 6.0140
angles: 102.54 102.54 124.46
Fractional coordinates of all 8 atoms:
Zr  0.0000  0.0000  0.0000
Zr  0.7500  0.2500  0.5000
Ta  0.1397  0.6250  0.0147
Ta  0.3750  0.3897  0.5147
Ta  0.6103  0.1250  0.9853
Ta  0.8750  0.8603  0.4853
Ti  0.2500  0.7500  0.5000
Ti  0.5000  0.5000  0.0000

Output
* symmetry: No. 122

=====

Order from most stable to least stable according to the calculation: <a>, <b>

=====

<a>
A relaxed Ta3Tl5 crystal. Source: Alexandria via LeMat-Bulk, functional PBE-GGA.

abc: 8.5826 8.5826 5.6601
angles: 90.00 90.00 120.00
Fractional coordinates of all 16 atoms:
Ta  0.0000  0.4112  0.2500
Ta  0.0000  0.5888  0.7500
Ta  0.4112  0.0000  0.2500
Ta  0.4112  0.4112  0.7500
Ta  0.5888  0.0000  0.7500
Ta  0.5888  0.5888  0.2500
Tl  0.0000  0.2266  0.7500
Tl  0.0000  0.7734  0.2500
Tl  0.2266  0.0000  0.7500
Tl  0.2266  0.2266  0.2500
Tl  0.3333  0.6667  0.0000
Tl  0.3333  0.6667  0.5000
Tl  0.6667  0.3333  0.0000
Tl  0.6667  0.3333  0.5000
Tl  0.7734  0.0000  0.2500
Tl  0.7734  0.7734  0.7500

Output
* symmetry: No. 193

=====

<b>
A relaxed Ta3Tl5 crystal. Source: Alexandria via LeMat-Bulk, functional PBE-GGA.

abc: 6.1134 6.1134 5.4650
angles: 90.00 90.00 115.87
Fractional coordinates of all 8 atoms:
Ta  0.0000  0.0000  0.0000
Ta  0.2044  0.2044  0.5000
Ta  0.7956  0.7956  0.5000
Tl  0.0000  0.5000  0.0000
Tl  0.2619  0.7381  0.5000
Tl  0.5000  0.0000  0.0000
Tl  0.5000  0.5000  0.0000
Tl  0.7381  0.2619  0.5000

Output
* symmetry: No. 65

=====

Order from most stable to least stable according to the calculation: <b>, <a>

=====

<a>
A relaxed Ta5Tl crystal. Source: Alexandria via LeMat-Bulk, functional PBE-GGA.

abc: 5.5113 5.5113 5.5113
angles: 60.00 60.00 60.00
Fractional coordinates of all 6 atoms:
Ta  0.0000  0.0000  0.0000
Ta  0.1195  0.6268  0.6268
Ta  0.6268  0.1195  0.6268
Ta  0.6268  0.6268  0.1195
Ta  0.6268  0.6268  0.6268
Tl  0.2500  0.2500  0.2500

Output
* symmetry: No. 216

=====

<b>
A relaxed Ta5Tl crystal. Source: Alexandria via LeMat-Bulk, functional PBE-GGA.

abc: 5.6567 5.6567 4.5907
angles: 90.00 90.00 120.00
Fractional coordinates of all 6 atoms:
Ta  0.0000  0.5000  0.0000
Ta  0.3333  0.6667  0.5000
Ta  0.5000  0.0000  0.0000
Ta  0.5000  0.5000  0.0000
Ta  0.6667  0.3333  0.5000
Tl  0.0000  0.0000  0.5000

Output
* symmetry: No. 191

=====

Order from most stable to least stable according to the calculation: <a>, <b>